(1)
Tb4Ho3ScSe8 | PBE | optimized geometry

Results
* ΔE_f (raw): -1721.6 meV/atom
* space-group type: R-3m (166)

a = 8.0990 Å, b = 8.1301 Å, c = 8.0997 Å
α = 119.88°, β = 120.00°, γ = 90.00°
With the nearest neighbours (Å) after each atom.
Fractional positions:
Tb (0.0000, 0.0000, 0.0000)  6 Se 2.88
Se (0.2443, 0.7417, 0.4885)  1 Sc 2.80, 2 Ho 2.85, 3 Tb 2.88-2.93
Se (0.2468, 0.2584, 0.0026)  1 Sc 2.80, 2 Ho 2.85, 3 Tb 2.88-2.94
Se (0.2442, 0.7416, 0.9974)  1 Sc 2.80, 2 Ho 2.85, 3 Tb 2.88-2.94
Se (0.2513, 0.2539, 0.5026)  3 Ho 2.85, 3 Tb 2.88
Tb (0.0000, 0.0000, 0.5000)  6 Se 2.88
Se (0.7532, 0.7416, 0.9974)  1 Sc 2.80, 2 Ho 2.85, 3 Tb 2.88-2.94
Ho (0.5000, 0.5000, 0.5000)  6 Se 2.85
Sc (0.0000, 0.5000, 0.0000)  6 Se 2.80
Tb (0.5000, 0.0000, 0.5000)  6 Se 2.88
Tb (0.5000, 0.0000, 0.0000)  6 Se 2.93-2.94
Se (0.7557, 0.2583, 0.5115)  1 Sc 2.80, 2 Ho 2.85, 3 Tb 2.88-2.93
Ho (0.5000, 0.5000, 0.0000)  6 Se 2.85
Ho (0.0000, 0.5000, 0.5000)  6 Se 2.85
Se (0.7487, 0.7461, 0.4974)  3 Ho 2.85, 3 Tb 2.88
Se (0.7558, 0.2584, 0.0026)  1 Sc 2.80, 2 Ho 2.85, 3 Tb 2.88-2.94


(2)
NaNiI2 | PBE | optimized geometry

Results
* ΔE_f (raw): -456.2 meV/atom
* offset from the most stable computed form: 0 meV/atom
* space-group type: I-42d (122)

a = 6.7404 Å, b = 6.7404 Å, c = 7.6925 Å
α = 64.02°, β = 64.02°, γ = 90.00°
With the nearest neighbours (Å) after each atom.
Fractional positions:
I (0.6906, 0.1250, 0.2500)  2 Ni 2.58
I (0.0594, 0.6250, 0.2500)  2 Ni 2.58
Na (0.2500, 0.7500, 0.5000)  4 I 3.11
I (0.8750, 0.9406, 0.7500)  2 Ni 2.58
Ni (0.7500, 0.2500, 0.5000)  4 I 2.58
Na (0.5000, 0.5000, 0.0000)  4 I 3.11
I (0.3750, 0.3094, 0.7500)  2 Ni 2.58
Ni (0.0000, 0.0000, 0.0000)  4 I 2.58


(3)
Sm3Er5Tl2 | PBE | optimized geometry

Results
* space-group type: Ibam (72)
* energy relative to the elements: 1.0 eV per formula unit

a = 6.4215 Å, b = 10.5395 Å, c = 10.5395 Å
α = 94.17°, β = 72.26°, γ = 72.26°
With the nearest neighbours (Å) after each atom.
Fractional positions:
Sm (0.6201, 0.6460, 0.1138)  4 Er 3.42-3.58, 4 Tl 3.49-3.64
Sm (0.2500, 0.0000, 0.0000)  2 Sm 3.21, 2 Er 3.26, 4 Tl 3.27
Er (0.0037, 0.7463, 0.7463)  2 Tl 3.15, 5 Er 3.16-3.43, 1 Sm 3.26
Er (0.7500, 0.5000, 0.5000)  8 Er 3.16-3.35
Tl (0.1360, 0.7178, 0.0101)  3 Er 2.94-3.15, 2 Sm 3.27
Er (0.8835, 0.4525, 0.7804)  1 Tl 2.94
Sm (0.8799, 0.8862, 0.3540)  4 Er 3.42-3.58, 4 Tl 3.49-3.64
Er (0.5037, 0.7463, 0.7463)  2 Tl 3.15, 5 Er 3.16-3.43, 1 Sm 3.26
Tl (0.6360, 0.0101, 0.7178)  3 Er 2.94-3.15, 2 Sm 3.27
Er (0.9963, 0.2537, 0.2537)  2 Tl 3.15, 5 Er 3.16-3.43, 1 Sm 3.26
Sm (0.1201, 0.1138, 0.6460)  4 Er 3.42-3.58, 4 Tl 3.49-3.64
Tl (0.8640, 0.2822, 0.9899)  3 Er 2.94-3.15, 2 Sm 3.27
Sm (0.7500, 0.0000, 0.0000)  2 Sm 3.21, 2 Er 3.26, 4 Tl 3.27
Er (0.3835, 0.7804, 0.4525)  1 Tl 2.94
Er (0.2500, 0.5000, 0.5000)  8 Er 3.16-3.35
Er (0.6165, 0.2196, 0.5475)  1 Tl 2.94
Er (0.4963, 0.2537, 0.2537)  2 Tl 3.15, 5 Er 3.16-3.43, 1 Sm 3.26
Er (0.1165, 0.5475, 0.2196)  1 Tl 2.94
Sm (0.3799, 0.3540, 0.8862)  4 Er 3.42-3.58, 4 Tl 3.49-3.64
Tl (0.3640, 0.9899, 0.2822)  3 Er 2.94-3.15, 2 Sm 3.27


Copy entry 2 word for word.
NaNiI2 | PBE | optimized geometry

Results
* ΔE_f (raw): -456.2 meV/atom
* offset from the most stable computed form: 0 meV/atom
* space-group type: I-42d (122)

a = 6.7404 Å, b = 6.7404 Å, c = 7.6925 Å
α = 64.02°, β = 64.02°, γ = 90.00°
With the nearest neighbours (Å) after each atom.
Fractional positions:
I (0.6906, 0.1250, 0.2500)  2 Ni 2.58
I (0.0594, 0.6250, 0.2500)  2 Ni 2.58
Na (0.2500, 0.7500, 0.5000)  4 I 3.11
I (0.8750, 0.9406, 0.7500)  2 Ni 2.58
Ni (0.7500, 0.2500, 0.5000)  4 I 2.58
Na (0.5000, 0.5000, 0.0000)  4 I 3.11
I (0.3750, 0.3094, 0.7500)  2 Ni 2.58
Ni (0.0000, 0.0000, 0.0000)  4 I 2.58


Number 2 is which compound?
NaNiI2


Please write out number 3 again, unchanged.
Sm3Er5Tl2 | PBE | optimized geometry

Results
* space-group type: Ibam (72)
* energy relative to the elements: 1.0 eV per formula unit

a = 6.4215 Å, b = 10.5395 Å, c = 10.5395 Å
α = 94.17°, β = 72.26°, γ = 72.26°
With the nearest neighbours (Å) after each atom.
Fractional positions:
Sm (0.6201, 0.6460, 0.1138)  4 Er 3.42-3.58, 4 Tl 3.49-3.64
Sm (0.2500, 0.0000, 0.0000)  2 Sm 3.21, 2 Er 3.26, 4 Tl 3.27
Er (0.0037, 0.7463, 0.7463)  2 Tl 3.15, 5 Er 3.16-3.43, 1 Sm 3.26
Er (0.7500, 0.5000, 0.5000)  8 Er 3.16-3.35
Tl (0.1360, 0.7178, 0.0101)  3 Er 2.94-3.15, 2 Sm 3.27
Er (0.8835, 0.4525, 0.7804)  1 Tl 2.94
Sm (0.8799, 0.8862, 0.3540)  4 Er 3.42-3.58, 4 Tl 3.49-3.64
Er (0.5037, 0.7463, 0.7463)  2 Tl 3.15, 5 Er 3.16-3.43, 1 Sm 3.26
Tl (0.6360, 0.0101, 0.7178)  3 Er 2.94-3.15, 2 Sm 3.27
Er (0.9963, 0.2537, 0.2537)  2 Tl 3.15, 5 Er 3.16-3.43, 1 Sm 3.26
Sm (0.1201, 0.1138, 0.6460)  4 Er 3.42-3.58, 4 Tl 3.49-3.64
Tl (0.8640, 0.2822, 0.9899)  3 Er 2.94-3.15, 2 Sm 3.27
Sm (0.7500, 0.0000, 0.0000)  2 Sm 3.21, 2 Er 3.26, 4 Tl 3.27
Er (0.3835, 0.7804, 0.4525)  1 Tl 2.94
Er (0.2500, 0.5000, 0.5000)  8 Er 3.16-3.35
Er (0.6165, 0.2196, 0.5475)  1 Tl 2.94
Er (0.4963, 0.2537, 0.2537)  2 Tl 3.15, 5 Er 3.16-3.43, 1 Sm 3.26
Er (0.1165, 0.5475, 0.2196)  1 Tl 2.94
Sm (0.3799, 0.3540, 0.8862)  4 Er 3.42-3.58, 4 Tl 3.49-3.64
Tl (0.3640, 0.9899, 0.2822)  3 Er 2.94-3.15, 2 Sm 3.27